1.
VASP calculation (PBE) on crystalline Pr3SmMg at its relaxed geometry.

```
Pr3SmMg
1.0
-2.973 1.166 2.126
1.276 -9.190 3.345
6.108 3.299 6.733
Pr Mg Sm
6 2 2
Direct
0.096 0.693 0.004 Pr
0.096 0.693 0.496 Pr
0.904 0.307 0.996 Pr
0.697 0.894 0.750 Pr
0.904 0.307 0.504 Pr
0.303 0.106 0.250 Pr
0.334 0.167 0.750 Mg
0.666 0.833 0.250 Mg
0.509 0.517 0.750 Sm
0.491 0.483 0.250 Sm
```

## Properties
Its space group is No. 11. The value obtained for the formation energy is 167.9 meV/atom. The calculation puts the density of states at the Fermi level at 11.74 states/eV per cell. The value obtained for the energy above the most stable polymorph in this dataset is 4.267 kcal/mol of atoms. The total energy comes out at -3.96 eV/atom.


2.
VASP calculation (PBE) on crystalline CsCdPt at its relaxed geometry.

```
CsCdPt
1.0
-4.432 5.083 -0.650
2.396 -3.479 -8.230
-5.121 -4.417 0.377
Cs Cd Pt
4 4 4
Direct
0.320 0.641 0.000 Cs
0.820 0.641 0.500 Cs
0.680 0.359 0.000 Cs
0.180 0.359 0.500 Cs
0.750 0.000 0.750 Cd
0.250 0.000 0.750 Cd
0.250 0.000 0.250 Cd
0.750 0.000 0.250 Cd
0.417 0.834 0.500 Pt
0.917 0.834 0.000 Pt
0.083 0.166 0.000 Pt
0.583 0.166 0.500 Pt
```

## Properties
Its space group is No. 139. The value obtained for the formation energy is -116.0 meV/atom. The calculation puts the density of states at the Fermi level at 2.75 states/eV per cell. The value obtained for the energy above the most stable polymorph in this dataset is 1.068 kcal/mol of atoms. The total energy comes out at -2.72 eV/atom.


3.
VASP calculation (PBE) on crystalline Tm2IrPt at its relaxed geometry.

```
Tm2IrPt
1.0
3.405 0.000 0.000
0.000 3.405 0.000
0.000 0.000 6.860
Tm Pt Ir
2 1 1
Direct
0.000 0.000 0.257 Tm
0.000 0.000 0.743 Tm
0.500 0.500 0.000 Pt
0.500 0.500 0.500 Ir
```

## Properties
Its space group is No. 123. The value obtained for the formation energy is -1112.4 meV/atom. The calculation puts the density of states at the Fermi level at 2.09 states/eV per cell. The total energy comes out at -7.07 eV/atom.


4.
VASP calculation (PBE) on crystalline TcRh2 at its relaxed geometry.

```
TcRh2
1.0
-0.274 -1.266 4.118
1.031 -4.026 -1.169
2.699 0.587 0.360
Tc Rh
1 2
Direct
0.000 0.000 0.000 Tc
0.000 0.500 0.500 Rh
0.500 0.000 0.500 Rh
```

## Properties
Its space group is No. 123. The value obtained for the formation energy is 673.5 meV/atom. The calculation puts the density of states at the Fermi level at 4.29 states/eV per cell. The value obtained for the energy above the most stable polymorph in this dataset is 18.890 kcal/mol of atoms. The total energy comes out at -7.68 eV/atom.


5.
VASP calculation (PBE) on crystalline Pr12Dy7In at its relaxed geometry.

```
Pr12Dy7In
1.0
8.586 1.107 1.661
-1.324 8.555 1.661
-1.324 -1.762 8.535
Pr Dy In
12 7 1
Direct
0.493 0.615 0.143 Pr
0.385 0.857 0.507 Pr
0.870 0.263 0.735 Pr
0.507 0.385 0.857 Pr
0.857 0.507 0.385 Pr
0.265 0.130 0.737 Pr
0.615 0.143 0.493 Pr
0.735 0.870 0.263 Pr
0.130 0.737 0.265 Pr
0.737 0.265 0.130 Pr
0.143 0.493 0.615 Pr
0.263 0.735 0.870 Pr
0.060 0.144 0.378 Dy
0.500 0.500 0.500 Dy
0.378 0.060 0.144 Dy
0.144 0.378 0.060 Dy
0.856 0.622 0.940 Dy
0.622 0.940 0.856 Dy
0.940 0.856 0.622 Dy
0.000 0.000 0.000 In
```

## Properties
Its space group is No. 148. The value obtained for the formation energy is 141.6 meV/atom. The calculation puts the density of states at the Fermi level at 31.87 states/eV per cell. The value obtained for the energy above the most stable polymorph in this dataset is 0.000 kcal/mol of atoms. The total energy comes out at -4.47 eV/atom.


6.
VASP calculation (PBE) on crystalline LaPr2Nd6Sm at its relaxed geometry.

```
LaPr2Nd6Sm
1.0
9.559 -2.266 -2.351
0.755 8.763 -2.087
0.755 -2.411 8.680
La Nd Sm Pr
2 12 2 4
Direct
0.250 0.404 0.596 La
0.750 0.596 0.404 La
0.122 0.704 0.498 Nd
0.378 0.502 0.296 Nd
0.316 0.976 0.425 Nd
0.055 0.117 0.746 Nd
0.184 0.575 0.024 Nd
0.684 0.024 0.575 Nd
0.555 0.746 0.117 Nd
0.945 0.883 0.254 Nd
0.878 0.296 0.502 Nd
0.816 0.425 0.976 Nd
0.445 0.254 0.883 Nd
0.622 0.498 0.704 Nd
0.750 0.019 0.981 Sm
0.250 0.981 0.019 Sm
0.459 0.812 0.713 Pr
0.541 0.188 0.287 Pr
0.041 0.287 0.188 Pr
0.959 0.713 0.812 Pr
```

## Properties
Its space group is No. 15. The value obtained for the formation energy is 111.8 meV/atom. The calculation puts the density of states at the Fermi level at 32.57 states/eV per cell. The total energy comes out at -4.67 eV/atom.


7.
VASP calculation (PBE) on crystalline Y4GaAg2Pd at its relaxed geometry.

```
Y4GaAg2Pd
1.0
5.089 0.000 0.000
2.544 4.407 0.000
2.544 1.469 8.310
Ga Y Ag Pd
1 4 2 1
Direct
0.000 0.000 0.000 Ga
0.623 0.623 0.132 Y
0.873 0.873 0.381 Y
0.127 0.127 0.619 Y
0.377 0.377 0.868 Y
0.253 0.253 0.240 Ag
0.747 0.747 0.760 Ag
0.500 0.500 0.500 Pd
```

## Properties
Its space group is No. 166. The value obtained for the formation energy is -539.8 meV/atom. The calculation puts the density of states at the Fermi level at 6.44 states/eV per cell. The total energy comes out at -5.51 eV/atom.


8.
VASP calculation (PBE) on crystalline LaSb2Te at its relaxed geometry.

```
LaSb2Te
1.0
-0.933 2.045 4.053
-3.960 -1.915 0.055
0.545 -5.705 3.004
Te Sb La
1 2 1
Direct
0.000 0.467 0.575 Te
0.500 0.258 0.134 Sb
0.000 0.855 0.089 Sb
0.500 0.920 0.701 La
```

## Properties
The energy relative to the elements, uncorrected is -0.82 eV per atom. Its space group is No. 6. The calculation puts the density of states at the Fermi level at 1.54 states/eV per cell. The total energy comes out at -4.89 eV/atom.


9.
VASP calculation (PBE) on crystalline ScCuNiPt at its relaxed geometry.

```
ScCuNiPt
1.0
4.365 0.000 0.000
2.182 3.780 0.000
2.182 1.260 3.564
Cu Pt Sc Ni
1 1 1 1
Direct
0.750 0.750 0.750 Cu
0.500 0.500 0.500 Pt
0.250 0.250 0.250 Sc
0.000 0.000 0.000 Ni
```

## Properties
Its space group is No. 216. The value obtained for the formation energy is -552.3 meV/atom. The calculation puts the density of states at the Fermi level at 1.60 states/eV per cell. The value obtained for the energy above the most stable polymorph in this dataset is 2.161 kcal/mol of atoms. The total energy comes out at -6.11 eV/atom.


10.
VASP calculation (PBE) on crystalline Sm8Er2In at its relaxed geometry.

```
Sm8Er2In
1.0
5.008 0.000 0.000
0.000 7.998 0.476
-2.504 -2.966 8.590
Er Sm In
2 8 1
Direct
0.776 0.366 0.551 Er
0.224 0.634 0.449 Er
0.955 0.273 0.910 Sm
0.136 0.179 0.272 Sm
0.864 0.821 0.728 Sm
0.045 0.727 0.090 Sm
0.320 0.091 0.640 Sm
0.680 0.909 0.360 Sm
0.410 0.557 0.819 Sm
0.590 0.443 0.181 Sm
0.500 0.000 0.000 In
```

## Properties
Its space group is No. 12. The value obtained for the formation energy is -66.3 meV/atom. The calculation puts the density of states at the Fermi level at 14.81 states/eV per cell. The value obtained for the energy above the most stable polymorph in this dataset is 0.000 kcal/mol of atoms. The total energy comes out at -4.58 eV/atom.


11.
VASP calculation (PBE) on crystalline ScAsIr at its relaxed geometry.

```
ScAsIr
1.0
-2.537 -0.106 -1.938
2.417 -2.046 -0.420
-2.727 -3.999 3.790
As Ir Sc
1 1 1
Direct
0.000 0.000 0.018 As
0.667 0.333 0.332 Ir
0.333 0.667 0.650 Sc
```

## Properties
Its space group is No. 156. The value obtained for the formation energy is -236.3 meV/atom. The calculation puts the density of states at the Fermi level at 3.30 states/eV per cell. The total energy comes out at -6.85 eV/atom.


12.
VASP calculation (PBE) on crystalline TiFeIr2Ru at its relaxed geometry.

```
TiFeIr2Ru
1.0
-2.114 1.885 3.724
-2.173 -3.865 0.722
3.506 -1.462 2.730
Ir Ru Ti Fe
2 1 1 1
Direct
0.500 0.000 0.000 Ir
0.000 0.000 0.500 Ir
0.000 0.000 0.000 Ru
0.500 0.500 0.500 Ti
0.000 0.500 0.000 Fe
```

## Properties
Its space group is No. 123. The value obtained for the formation energy is 1337.2 meV/atom. The calculation puts the density of states at the Fermi level at 7.92 states/eV per cell. The total energy comes out at -7.33 eV/atom.